Record 1
Compound: CaAc2ErTe5
Source: Alexandria via LeMat-Bulk
Functional: GGA-PBE
Structure: relaxed

a b c (Å): 5.5165 5.5165 11.6945
angles (deg): 90.00 90.00 90.00
Fractional coordinates of all 9 atoms:
Ca (0.0000, 0.0000, 0.0000)
Ac (0.5000, 0.5000, 0.2980)
Ac (0.5000, 0.5000, 0.7020)
Er (0.0000, 0.0000, 0.5000)
Te (0.0000, 0.0000, 0.2466)
Te (0.0000, 0.0000, 0.7534)
Te (0.0000, 0.5000, 0.5000)
Te (0.5000, 0.0000, 0.5000)
Te (0.5000, 0.5000, 0.0000)

Output
Uncorrected energy, eV per atom: -4.554
N(E_F), states/eV per atom: 0.491
Total magnetization, μB/f.u.: 0.0
Space group: P4/mmm
Formation energy without anion corrections, meV per atom: -1166.0

***

Record 2
Compound: ScTlN2
Source: Alexandria via LeMat-Bulk
Functional: GGA-PBE
Structure: relaxed

a b c (Å): 5.0559 5.0559 10.2070
angles (deg): 90.00 90.00 90.00
Fractional coordinates of all 16 atoms:
Sc (0.0000, 0.0000, 0.0000)
Sc (0.0000, 0.5000, 0.2500)
Sc (0.5000, 0.0000, 0.7500)
Sc (0.5000, 0.5000, 0.5000)
Tl (0.0000, 0.0000, 0.5000)
Tl (0.0000, 0.5000, 0.7500)
Tl (0.5000, 0.0000, 0.2500)
Tl (0.5000, 0.5000, 0.0000)
N (0.2198, 0.2500, 0.1250)
N (0.2500, 0.7198, 0.3750)
N (0.2500, 0.7802, 0.8750)
N (0.2802, 0.2500, 0.6250)
N (0.7198, 0.7500, 0.6250)
N (0.7500, 0.2198, 0.8750)
N (0.7500, 0.2802, 0.3750)
N (0.7802, 0.7500, 0.1250)

Output
Uncorrected energy, eV per atom: -6.679
N(E_F), states/eV per atom: 0.000
Total magnetization, μB/f.u.: 0.0
Space group: I-42d
Formation energy without anion corrections, meV per atom: -342.3

***

Record 3
Compound: AcThSN
Source: Alexandria via LeMat-Bulk
Functional: GGA-PBE
Structure: relaxed

a b c (Å): 3.8745 3.8745 20.9489
angles (deg): 90.00 90.00 120.00
Fractional coordinates of all 12 atoms:
Ac (0.0000, 0.0000, 0.0000)
Ac (0.3333, 0.6667, 0.6667)
Ac (0.6667, 0.3333, 0.3333)
Th (0.0000, 0.0000, 0.8042)
Th (0.3333, 0.6667, 0.4709)
Th (0.6667, 0.3333, 0.1376)
S (0.0000, 0.0000, 0.2288)
S (0.3333, 0.6667, 0.8955)
S (0.6667, 0.3333, 0.5622)
N (0.0000, 0.0000, 0.4173)
N (0.3333, 0.6667, 0.0840)
N (0.6667, 0.3333, 0.7507)

Output
Uncorrected energy, eV per atom: -7.577
N(E_F), states/eV per atom: 0.133
Total magnetization, μB/f.u.: 0.0
Space group: R3m
Formation energy without anion corrections, meV per atom: -1581.4

***

Record 4
Compound: KLiSi2
Source: Alexandria via LeMat-Bulk
Functional: GGA-PBE
Structure: relaxed

a b c (Å): 4.0214 4.0214 5.0040
angles (deg): 90.00 90.00 90.00
Fractional coordinates of all 4 atoms:
K (0.0000, 0.0000, 0.0000)
Li (0.5000, 0.5000, 0.0000)
Si (0.0000, 0.5000, 0.5000)
Si (0.5000, 0.0000, 0.5000)

Output
Uncorrected energy, eV per atom: -3.037
N(E_F), states/eV per atom: 0.549
Total magnetization, μB/f.u.: 0.0
Space group: P4/mmm
Formation energy without anion corrections, meV per atom: 427.7

***

Record 5
Compound: CrCo2Ir
Source: Alexandria via LeMat-Bulk
Functional: GGA-PBE
Structure: relaxed

a b c (Å): 2.6261 2.6261 6.9994
angles (deg): 90.00 90.00 90.00
Fractional coordinates of all 4 atoms:
Cr (0.0000, 0.0000, 0.0000)
Co (0.0000, 0.0000, 0.5304)
Co (0.5000, 0.5000, 0.7603)
Ir (0.5000, 0.5000, 0.2597)

Output
Formation energy from the elements, eV/atom: 0.03
Uncorrected energy, eV per atom: -8.144
N(E_F), states/eV per atom: 1.289
Total magnetization, μB/f.u.: 2.7
Space group: P4mm

***

Record 6
Compound: TmSc2Zn4
Source: Alexandria via LeMat-Bulk
Functional: GGA-PBE
Structure: relaxed

a b c (Å): 4.9063 4.9063 12.2404
angles (deg): 90.00 90.00 90.00
Fractional coordinates of all 14 atoms:
Tm (0.0000, 0.0000, 0.0000)
Tm (0.5000, 0.5000, 0.5000)
Sc (0.0000, 0.0000, 0.2652)
Sc (0.0000, 0.0000, 0.7348)
Sc (0.5000, 0.5000, 0.2348)
Sc (0.5000, 0.5000, 0.7652)
Zn (0.0000, 0.5000, 0.1209)
Zn (0.0000, 0.5000, 0.3791)
Zn (0.0000, 0.5000, 0.6209)
Zn (0.0000, 0.5000, 0.8791)
Zn (0.5000, 0.0000, 0.1209)
Zn (0.5000, 0.0000, 0.3791)
Zn (0.5000, 0.0000, 0.6209)
Zn (0.5000, 0.0000, 0.8791)

Output
Formation energy from the elements, eV/atom: -0.13
Uncorrected energy, eV per atom: -3.309
N(E_F), states/eV per atom: 0.628
Total magnetization, μB/f.u.: 0.0
Space group: I4/mmm

***

Repeat the fourth record exactly.
Compound: KLiSi2
Source: Alexandria via LeMat-Bulk
Functional: GGA-PBE
Structure: relaxed

a b c (Å): 4.0214 4.0214 5.0040
angles (deg): 90.00 90.00 90.00
Fractional coordinates of all 4 atoms:
K (0.0000, 0.0000, 0.0000)
Li (0.5000, 0.5000, 0.0000)
Si (0.0000, 0.5000, 0.5000)
Si (0.5000, 0.0000, 0.5000)

Output
Uncorrected energy, eV per atom: -3.037
N(E_F), states/eV per atom: 0.549
Total magnetization, μB/f.u.: 0.0
Space group: P4/mmm
Formation energy without anion corrections, meV per atom: 427.7